No. 1
# Ta2VCr PBE relaxed
data_Ta2VCr
_chemical_formula_sum 'Ta6 V3 Cr3'
_cell_length_a 2.9752
_cell_length_b 2.9752
_cell_length_c 25.0806
_cell_angle_alpha 90.00
_cell_angle_beta 90.00
_cell_angle_gamma 120.00
_space_group_name_H-M_alt 'R -3 m'
_space_group_IT_number 166
_space_group_name_Hall '-R 3 2"'
loop_
_atom_site_label
_atom_site_fract_x
_atom_site_fract_y
_atom_site_fract_z
Ta1 0.0000 0.0000 0.2463
V1 0.0000 0.0000 0.0000
Cr1 0.0000 0.0000 0.5000
# Magnetization, μB/atom: 0.000
# E_tot, eV/f.u.: -41.1
# Formation energy, eV/atom: 0.340



No. 2
# MgTaH PBE relaxed
data_MgTaH
_chemical_formula_sum 'Mg1 Ta1 H1'
_cell_length_a 4.8325
_cell_length_b 4.8325
_cell_length_c 2.5766
_cell_angle_alpha 90.00
_cell_angle_beta 90.00
_cell_angle_gamma 120.00
_space_group_name_H-M_alt 'P -6 m 2'
_space_group_IT_number 187
_space_group_name_Hall 'P -6 2'
loop_
_atom_site_label
_atom_site_fract_x
_atom_site_fract_y
_atom_site_fract_z
Mg1 0.0000 0.0000 0.0000
Ta1 0.3333 0.6667 0.0000
H1 0.6667 0.3333 0.5000
# Magnetization, μB/atom: 0.000
# E_tot, eV/f.u.: -12.2



No. 3
# TaCu2Pd2 PBE relaxed
data_TaCu2Pd2
_chemical_formula_sum 'Ta2 Cu4 Pd4'
_cell_length_a 7.109
_cell_length_b 7.109
_cell_length_c 2.895
_cell_angle_alpha 90.00
_cell_angle_beta 90.00
_cell_angle_gamma 90.00
_space_group_name_H-M_alt 'P 4/m b m'
_space_group_IT_number 127
_space_group_name_Hall '-P 4 2ab'
loop_
_atom_site_label
_atom_site_fract_x
_atom_site_fract_y
_atom_site_fract_z
Ta1 0.000 0.000 0.000
Cu1 0.120 0.380 0.000
Pd1 0.177 0.677 0.500
# Magnetization, μB/atom: 0.000
# E_tot, eV/f.u.: -30.6
# Formation energy, eV/atom: -0.038



No. 4
# TbDy5Tm2Th PBE relaxed
data_TbDy5Tm2Th
_chemical_formula_sum 'Tb4 Dy20 Tm8 Th4'
_cell_length_a 5.677
_cell_length_b 21.436
_cell_length_c 9.648
_cell_angle_alpha 90.00
_cell_angle_beta 90.00
_cell_angle_gamma 90.00
_space_group_name_H-M_alt 'C m c 21'
_space_group_IT_number 36
loop_
_space_group_symop_operation_xyz
'x,y,z'
'-x,-y,z+1/2'
'-x,y,z'
'x,-y,z+1/2'
'x+1/2,y+1/2,z'
'-x+1/2,-y+1/2,z+1/2'
'-x+1/2,y+1/2,z'
'x+1/2,-y+1/2,z+1/2'
loop_
_atom_site_label
_atom_site_fract_x
_atom_site_fract_y
_atom_site_fract_z
Tb1 0.000 0.189 0.000
Dy1 0.000 0.014 0.000
Dy2 0.000 0.272 0.304
Dy3 0.000 0.304 0.698
Dy4 0.000 0.399 0.024
Dy5 0.000 0.468 0.724
Tm1 0.000 0.116 0.313
Tm2 0.000 0.129 0.694
Th1 0.000 0.406 0.404
# Magnetization, μB/atom: 0.000
# E_tot, eV/f.u.: -42.5
# Formation energy, eV/atom: 0.162